Compound: Hf2B2MoRu5
Source: the Alexandria database
Functional: PBE
Structure: optimized geometry

Unit cell a=9.450 b=9.450 c=3.072 alpha=90.00 beta=90.00 gamma=90.00
Space group P4/mbm (No. 127)
Asymmetric unit:
Hf 0.176 0.324 0.000
B 0.121 0.621 0.000
Mo 0.000 0.000 0.000
Ru 0.000 0.500 0.500
Ru 0.071 0.783 0.500

Results
energy: -9.627 eV per atom
total magnetic moment: 0.00 μB per formula unit


Compound: Hf2TaBMo
Source: the Alexandria database
Functional: PBE
Structure: optimized geometry

Unit cell a=4.559 b=4.559 c=4.306 alpha=90.00 beta=90.00 gamma=90.00
Space group P4/mmm (No. 123)
Asymmetric unit:
Hf 0.000 0.500 0.000
Ta 0.000 0.000 0.500
B 0.000 0.000 0.000
Mo 0.500 0.500 0.500

Results
energy: -9.762 eV per atom
total magnetic moment: 0.00 μB per formula unit


Compound: HfV2BMo
Source: the Alexandria database
Functional: PBE
Structure: optimized geometry

Unit cell a=4.379 b=4.379 c=5.172 alpha=90.00 beta=90.00 gamma=90.00
Space group P4/mmm (No. 123)
Asymmetric unit:
Hf 0.000 0.000 0.000
V 0.000 0.500 0.500
B 0.500 0.500 0.000
Mo 0.000 0.000 0.500

Results
relative energy among the computed polymorphs: 0 meV/atom
total magnetic moment: 0.00 μB per formula unit


Compound: HfV2BMo
Source: the Alexandria database
Functional: PBE
Structure: optimized geometry

Unit cell a=4.544 b=4.544 c=4.761 alpha=90.00 beta=90.00 gamma=90.00
Space group P4/mmm (No. 123)
Asymmetric unit:
Hf 0.000 0.000 0.000
V 0.000 0.500 0.000
B 0.500 0.500 0.500
Mo 0.000 0.000 0.500

Results
relative energy among the computed polymorphs: 795 meV/atom
total magnetic moment: 0.00 μB per formula unit


Compound: HfB2MoW
Source: the Alexandria database
Functional: PBE
Structure: optimized geometry

Unit cell a=4.178 b=4.178 c=4.853 alpha=90.00 beta=90.00 gamma=90.00
Space group P4/mmm (No. 123)
Asymmetric unit:
Hf 0.000 0.000 0.000
B 0.000 0.500 0.000
Mo 0.000 0.000 0.500
W 0.500 0.500 0.500

Results
energy: -7.113 eV per atom
total magnetic moment: 0.00 μB per formula unit


Compound: HfB3N
Source: the Alexandria database
Functional: PBE
Structure: optimized geometry

Unit cell a=3.612 b=3.612 c=3.612 alpha=90.00 beta=90.00 gamma=90.00
Space group Pm-3m (No. 221)
Asymmetric unit:
Hf 0.000 0.000 0.000
B 0.000 0.500 0.500
N 0.500 0.500 0.500

Results
formation energy from raw total energies: 1.261 eV per atom
relative energy among the computed polymorphs: 0 meV/atom
total magnetic moment: 0.00 μB per formula unit